*i*
The following is a PBE-GGA calculation of a relaxed structure of Er2Lu, from Alexandria.

Cell: 3.4756 3.4756 14.8385 Å, 90.00 90.00 90.00°
Last column: nearest neighbours and their distance in Å.
Space group I4/mmm (No. 139)
Asymmetric unit:
Er1 0.0000 0.0000 0.1662 [4 per cell]  8 Er 3.48-3.50, 4 Lu 3.48
Lu1 0.0000 0.0000 0.5000 [2 per cell]  4 Lu 3.48, 8 Er 3.48

Results
Total moment ... 0.0 μB per formula unit

=====

*ii*
The following is a PBE-GGA calculation of a relaxed structure of Er2Lu, from Alexandria.

Cell: 9.1003 9.1003 9.1003 Å, 90.00 90.00 90.00°
Last column: nearest neighbours and their distance in Å.
Space group Fd-3m (No. 227, origin choice 2)
Asymmetric unit:
Er1 0.0000 0.0000 0.0000 [16 per cell]  6 Er 3.22
Lu1 0.1250 0.1250 0.6250 [8 per cell]  12 Er 3.77, 4 Lu 3.94

Results
Total moment ... 0.0 μB per formula unit

=====

Result of the stability comparison: *i* is the most stable of them.

=====

*i*
The following is a PBE-GGA calculation of a relaxed structure of NaEr2Lu, from Alexandria.

Cell: 3.4463 3.4463 37.6138 Å, 90.00 90.00 120.00°
Last column: nearest neighbours and their distance in Å.
Space group R-3m (No. 166, hexagonal axes)
Asymmetric unit:
Na1 0.0000 0.0000 0.0000 [3 per cell]  6 Na 3.45, 2 Er 3.50
Er1 0.0000 0.0000 0.0930 [6 per cell]  3 Lu 3.41, 6 Er 3.45, 1 Na 3.50
Lu1 0.0000 0.0000 0.5000 [3 per cell]  6 Er 3.41, 6 Lu 3.45

Results
Total moment ... 0.0 μB per formula unit

=====

*ii*
The following is a PBE-GGA calculation of a relaxed structure of NaEr2Lu, from Alexandria.

Cell: 3.4807 3.4807 10.4319 Å, 90.00 90.00 90.00°
Last column: nearest neighbours and their distance in Å.
Space group P4/mmm (No. 123)
Asymmetric unit:
Na1 0.0000 0.0000 0.0000 [1 per cell]  4 Na 3.48, 8 Er 3.77
Er1 0.5000 0.5000 0.2733 [2 per cell]  4 Lu 3.41, 4 Er 3.48, 4 Na 3.77
Lu1 0.0000 0.0000 0.5000 [1 per cell]  8 Er 3.41, 4 Lu 3.48

Results
Total moment ... 0.0 μB per formula unit

=====

Result of the stability comparison: *ii* is the most stable of them.

=====

*i*
The following is a PBE-GGA calculation of a relaxed structure of NdEr2Lu, from Alexandria.

Cell: 4.9923 4.9923 5.0233 Å, 90.00 90.00 90.00°
Last column: nearest neighbours and their distance in Å.
Space group P4/mmm (No. 123)
Asymmetric unit:
Nd1 0.0000 0.0000 0.0000 [1 per cell]  4 Lu 3.53, 8 Er 3.54
Er1 0.0000 0.5000 0.5000 [2 per cell]  4 Er 3.53, 4 Lu 3.54, 4 Nd 3.54
Lu1 0.5000 0.5000 0.0000 [1 per cell]  4 Nd 3.53, 8 Er 3.54

Results
Total moment ... 0.0 μB per formula unit

=====

*ii*
The following is a PBE-GGA calculation of a relaxed structure of NdEr2Lu, from Alexandria.

Cell: 7.9763 7.9763 7.9763 Å, 90.00 90.00 90.00°
Last column: nearest neighbours and their distance in Å.
Space group Fm-3m (No. 225)
Asymmetric unit:
Nd1 0.0000 0.0000 0.0000 [4 per cell]  8 Er 3.45
Er1 0.2500 0.2500 0.2500 [8 per cell]  4 Nd 3.45, 4 Lu 3.45
Lu1 0.0000 0.0000 0.5000 [4 per cell]  8 Er 3.45

Results
Total moment ... 0.0 μB per formula unit

=====

Result of the stability comparison: *i* is the most stable of them.

=====

*i*
The following is a PBE-GGA calculation of a relaxed structure of Er2LuO, from Alexandria.

Cell: 3.1597 3.1597 8.4906 Å, 90.00 90.00 90.00°
Last column: nearest neighbours and their distance in Å.
Space group P4/mmm (No. 123)
Asymmetric unit:
Er1 0.0000 0.0000 0.1797 [2 per cell]  4 O 2.71
Lu1 0.5000 0.5000 0.5000 [1 per cell]  4 Lu 3.16, 8 Er 3.52
O1 0.5000 0.5000 0.0000 [1 per cell]  8 Er 2.71

Results
Total moment ... 0.0 μB per formula unit

=====

*ii*
The following is a PBE-GGA calculation of a relaxed structure of Er2LuO, from Alexandria.

Cell: 3.4848 3.4848 25.4608 Å, 90.00 90.00 120.00°
Last column: nearest neighbours and their distance in Å.
Space group R-3m (No. 166, hexagonal axes)
Asymmetric unit:
Er1 0.0000 0.0000 0.2197 [6 per cell]  3 O 2.42
Lu1 0.0000 0.0000 0.0000 [3 per cell]  6 Lu 3.48, 6 Er 3.52
O1 0.0000 0.0000 0.5000 [3 per cell]  6 Er 2.42

Results
Total moment ... 0.0 μB per formula unit

=====

Result of the stability comparison: *ii* is the most stable of them.